The following is a PBE calculation of crystalline K3TlSe at its relaxed geometry, from Alexandria.

Geometry as POSCAR:
```
K3TlSe
1.0
6.300 0.000 0.000
0.000 6.300 0.000
0.000 0.000 6.300
K Tl Se
3 1 1
Direct
0.000 0.000 0.500
0.000 0.500 0.000
0.500 0.000 0.000
0.500 0.500 0.500
0.000 0.000 0.000
```

Calculated values
ΔE_f (raw)   -0.45 eV per atom
DOS(E_F)   0.802 states/eV/atom


The following is a PBE calculation of crystalline Ca3SiNi at its relaxed geometry, from Alexandria.

Geometry as POSCAR:
```
Ca3SiNi
1.0
5.206 0.000 0.000
0.000 5.206 0.000
0.000 0.000 5.206
Ca Si Ni
3 1 1
Direct
0.000 0.000 0.500
0.000 0.500 0.000
0.500 0.000 0.000
0.500 0.500 0.500
0.000 0.000 0.000
```

Calculated values
ΔE_f (raw)   0.08 eV per atom
DOS(E_F)   0.681 states/eV/atom


The following is a PBE calculation of crystalline Hf3Ta at its relaxed geometry, from Alexandria.

Geometry as POSCAR:
```
Hf3Ta
1.0
4.382 0.000 0.000
0.000 4.382 0.000
0.000 0.000 8.887
Hf Ta
6 2
Direct
0.000 0.000 0.000
0.000 0.500 0.250
0.000 0.500 0.750
0.500 0.000 0.250
0.500 0.000 0.750
0.500 0.500 0.500
0.000 0.000 0.500
0.500 0.500 0.000
```

Calculated values
DOS(E_F)   1.391 states/eV/atom
Energy of formation from the pure elements   0.146 eV per atom


The following is a PBE calculation of crystalline PmHfNiPt at its relaxed geometry, from Alexandria.

Geometry as POSCAR:
```
PmHfNiPt
1.0
6.797 0.000 0.000
0.000 6.797 0.000
0.000 0.000 6.797
Pm Hf Ni Pt
4 4 4 4
Direct
0.000 0.000 0.000
0.000 0.500 0.500
0.500 0.000 0.500
0.500 0.500 0.000
0.000 0.000 0.500
0.000 0.500 0.000
0.500 0.000 0.000
0.500 0.500 0.500
0.250 0.250 0.250
0.250 0.750 0.750
0.750 0.250 0.750
0.750 0.750 0.250
0.250 0.250 0.750
0.250 0.750 0.250
0.750 0.250 0.250
0.750 0.750 0.750
```

Calculated values
DOS(E_F)   0.866 states/eV/atom
Energy of formation from the pure elements   -0.560 eV per atom


The following is a PBE calculation of crystalline ScBeZn2 at its relaxed geometry, from Alexandria.

Geometry as POSCAR:
```
ScBeZn2
1.0
2.993 0.000 0.000
0.000 3.994 0.000
-1.487 0.000 5.150
Sc Be Zn
1 1 2
Direct
0.000 0.000 0.000
0.388 0.500 0.776
0.273 0.000 0.540
0.667 0.500 0.333
```

Calculated values
DOS(E_F)   0.470 states/eV/atom
Energy of formation from the pure elements   -0.062 eV per atom


The following is a PBE calculation of crystalline LiTeAs4 at its relaxed geometry, from Alexandria.

Geometry as POSCAR:
```
LiTeAs4
1.0
0.000 4.238 4.238
4.238 0.000 4.238
4.238 4.238 0.000
Li Te As
1 1 4
Direct
0.000 0.000 0.000
0.750 0.750 0.750
0.394 0.394 0.394
0.394 0.394 0.817
0.394 0.817 0.394
0.817 0.394 0.394
```

Calculated values
ΔE_f (raw)   0.18 eV per atom
DOS(E_F)   0.570 states/eV/atom